[1]
A geometry-optimized Cs2BaLi structure, computed with PBE.

Calculated values
ΔE_f   303 meV/atom
Crystal system   cubic
DOS(E_F)   23.25 states/eV per cell
Calculated density   2285 kg/m³

Unit cell a=10.6024 b=10.6024 c=10.6024 alpha=90.00 beta=90.00 gamma=90.00
Last column: nearest neighbours and their distance in Å.
Element x y z (fractional)
Cs1 0.2500 0.2500 0.2500  4 Ba 4.59, 4 Li 4.59
Cs2 0.2500 0.2500 0.7500  4 Ba 4.59, 4 Li 4.59
Cs3 0.2500 0.7500 0.2500  4 Ba 4.59, 4 Li 4.59
Cs4 0.2500 0.7500 0.7500  4 Ba 4.59, 4 Li 4.59
Cs5 0.7500 0.2500 0.2500  4 Ba 4.59, 4 Li 4.59
Cs6 0.7500 0.2500 0.7500  4 Ba 4.59, 4 Li 4.59
Cs7 0.7500 0.7500 0.2500  4 Ba 4.59, 4 Li 4.59
Cs8 0.7500 0.7500 0.7500  4 Ba 4.59, 4 Li 4.59
Ba1 0.0000 0.0000 0.0000  8 Cs 4.59
Ba2 0.0000 0.5000 0.5000  8 Cs 4.59
Ba3 0.5000 0.0000 0.5000  8 Cs 4.59
Ba4 0.5000 0.5000 0.0000  8 Cs 4.59
Li1 0.0000 0.0000 0.5000  8 Cs 4.59
Li2 0.0000 0.5000 0.0000  8 Cs 4.59
Li3 0.5000 0.0000 0.0000  8 Cs 4.59
Li4 0.5000 0.5000 0.5000  8 Cs 4.59


[2]
A geometry-optimized Dy2ThReC4 structure, computed with PBE.

Calculated values
ΔE_f   -126 meV/atom
Crystal system   orthorhombic
DOS(E_F)   5.49 states/eV per cell
Calculated density   10067 kg/m³

Unit cell a=6.3379 b=6.3379 c=12.2063 alpha=90.00 beta=90.00 gamma=147.83
Last column: nearest neighbours and their distance in Å.
Element x y z (fractional)
Dy1 0.1288 0.8712 0.5391  4 C 2.40-2.64
Dy2 0.1288 0.8712 0.9609  4 C 2.40-2.64
Dy3 0.8712 0.1288 0.0391  4 C 2.40-2.64
Dy4 0.8712 0.1288 0.4609  4 C 2.40-2.64
Th1 0.4085 0.5915 0.7500  6 C 2.72-2.84
Th2 0.5915 0.4085 0.2500  6 C 2.72-2.84
Re1 0.3303 0.6697 0.2500  4 C 1.88-2.07
Re2 0.6697 0.3303 0.7500  4 C 1.88-2.07
C1 0.0796 0.9204 0.7500  2 Re 2.07
C2 0.2311 0.7689 0.1316  1 Re 1.88
C3 0.2311 0.7689 0.3684  1 Re 1.88
C4 0.5000 0.5000 0.0000  4 Dy 2.40
C5 0.5000 0.5000 0.5000  4 Dy 2.40
C6 0.7689 0.2311 0.6316  1 Re 1.88
C7 0.7689 0.2311 0.8684  1 Re 1.88
C8 0.9204 0.0796 0.2500  2 Re 2.07


[3]
A geometry-optimized Zn4Te3 structure, computed with PBE.

Calculated values
Relative energy among the computed polymorphs   0.079 eV/atom
Crystal system   cubic
DOS(E_F)   3.80 states/eV per cell
Calculated density   5678 kg/m³

Unit cell a=5.7335 b=5.7335 c=5.7335 alpha=90.00 beta=90.00 gamma=90.00
Last column: nearest neighbours and their distance in Å.
Element x y z (fractional)
Zn1 0.0000 0.0000 0.0000  6 Te 2.87
Zn2 0.0000 0.5000 0.5000  4 Te 2.87
Zn3 0.5000 0.0000 0.5000  4 Te 2.87
Zn4 0.5000 0.5000 0.0000  4 Te 2.87
Te1 0.0000 0.0000 0.5000  6 Zn 2.87
Te2 0.0000 0.5000 0.0000  6 Zn 2.87
Te3 0.5000 0.0000 0.0000  6 Zn 2.87


[4]
A geometry-optimized Pr3Nd2Y structure, computed with PBE.

Calculated values
ΔE_f   12 meV/atom
Relative energy among the computed polymorphs   0.000 eV/atom
Crystal system   monoclinic
DOS(E_F)   17.04 states/eV per cell
Calculated density   6278 kg/m³

Unit cell a=10.4260 b=3.6818 c=11.0261 alpha=90.00 beta=90.03 gamma=90.00
Last column: nearest neighbours and their distance in Å.
Element x y z (fractional)
Pr1 0.1238 0.2500 0.4168  6 Pr 3.66-3.69, 3 Y 3.67-3.68, 3 Nd 3.68
Pr2 0.3724 0.7500 0.9154  3 Nd 3.65-3.69, 2 Y 3.66, 7 Pr 3.68-3.73
Pr3 0.3750 0.7500 0.2503  5 Nd 3.68-3.70, 7 Pr 3.68-3.70
Pr4 0.6250 0.2500 0.7497  5 Nd 3.68-3.70, 7 Pr 3.68-3.70
Pr5 0.6276 0.2500 0.0846  3 Nd 3.65-3.69, 2 Y 3.66, 7 Pr 3.68-3.73
Pr6 0.8762 0.7500 0.5832  6 Pr 3.66-3.69, 3 Y 3.67-3.68, 3 Nd 3.68
Nd1 0.1227 0.2500 0.0830  4 Nd 3.64-3.68, 3 Y 3.66-3.67, 5 Pr 3.68-3.70
Nd2 0.3733 0.7500 0.5841  6 Pr 3.65-3.69, 2 Y 3.67, 4 Nd 3.68-3.72
Nd3 0.6267 0.2500 0.4159  6 Pr 3.65-3.69, 2 Y 3.67, 4 Nd 3.68-3.72
Nd4 0.8773 0.7500 0.9170  4 Nd 3.64-3.68, 3 Y 3.66-3.67, 5 Pr 3.68-3.70
Y1 0.1243 0.2500 0.7501  5 Pr 3.66-3.68, 5 Nd 3.66-3.67, 2 Y 3.68
Y2 0.8757 0.7500 0.2499  5 Pr 3.66-3.68, 5 Nd 3.66-3.67, 2 Y 3.68